[1]
# Cd3CoAu | the Alexandria database | PBE | optimized geometry
# energy relative to the lowest polymorph listed for this composition	0	meV/atom
# electronic total energy	-2.076	eV/atom
data_Cd3CoAu
_chemical_formula_sum 'Cd3 Co1 Au1'
_symmetry_space_group_name_H-M 'P m -3 m'
_symmetry_Int_Tables_number 221
_symmetry_space_group_name_Hall '-P 4 2 3'
_cell_length_a 4.918
_cell_length_b 4.918
_cell_length_c 4.918
_cell_angle_alpha 90.00
_cell_angle_beta 90.00
_cell_angle_gamma 90.00
loop_
_atom_site_label
_atom_site_type_symbol
_atom_site_fract_x
_atom_site_fract_y
_atom_site_fract_z
Cd1 Cd 0.000 0.000 0.500
Co1 Co 0.000 0.000 0.000
Au1 Au 0.500 0.500 0.500

=====

[2]
# Cd2CoAu | the Alexandria database | PBE | optimized geometry
# energy relative to the lowest polymorph listed for this composition	76	meV/atom
# electronic total energy	-2.850	eV/atom
data_Cd2CoAu
_chemical_formula_sum 'Cd8 Co4 Au4'
_symmetry_space_group_name_H-M 'F -4 3 m'
_symmetry_Int_Tables_number 216
_symmetry_space_group_name_Hall 'F -4 2 3'
_cell_length_a 6.545
_cell_length_b 6.545
_cell_length_c 6.545
_cell_angle_alpha 90.00
_cell_angle_beta 90.00
_cell_angle_gamma 90.00
loop_
_atom_site_label
_atom_site_type_symbol
_atom_site_fract_x
_atom_site_fract_y
_atom_site_fract_z
Cd1 Cd 0.000 0.000 0.000
Cd2 Cd 0.250 0.250 0.250
Co1 Co 0.250 0.250 0.750
Au1 Au 0.000 0.000 0.500

=====

[3]
# Cd2CoAu | the Alexandria database | PBE | optimized geometry
# energy relative to the lowest polymorph listed for this composition	6	meV/atom
# electronic total energy	-2.920	eV/atom
data_Cd2CoAu
_chemical_formula_sum 'Cd2 Co1 Au1'
_symmetry_space_group_name_H-M 'P m m m'
_symmetry_Int_Tables_number 47
_symmetry_space_group_name_Hall '-P 2 2'
_cell_length_a 3.144
_cell_length_b 3.418
_cell_length_c 6.483
_cell_angle_alpha 90.00
_cell_angle_beta 90.00
_cell_angle_gamma 90.00
loop_
_atom_site_label
_atom_site_type_symbol
_atom_site_fract_x
_atom_site_fract_y
_atom_site_fract_z
Cd1 Cd 0.000 0.000 0.228
Co1 Co 0.500 0.500 0.000
Au1 Au 0.500 0.500 0.500

=====

[4]
# CdCo2Au | the Alexandria database | PBE | optimized geometry
# electronic total energy	-4.330	eV/atom
data_CdCo2Au
_chemical_formula_sum 'Cd2 Co4 Au2'
_symmetry_space_group_name_H-M 'I -4 m 2'
_symmetry_Int_Tables_number 119
_symmetry_space_group_name_Hall 'I -4 -2'
_cell_length_a 3.916
_cell_length_b 3.916
_cell_length_c 7.824
_cell_angle_alpha 90.00
_cell_angle_beta 90.00
_cell_angle_gamma 90.00
loop_
_atom_site_label
_atom_site_type_symbol
_atom_site_fract_x
_atom_site_fract_y
_atom_site_fract_z
Cd1 Cd 0.000 0.000 0.000
Co1 Co 0.000 0.000 0.500
Co2 Co 0.000 0.500 0.750
Au1 Au 0.000 0.500 0.250

=====

[5]
# CdCo2Au | the Alexandria database | PBE | optimized geometry
# electronic total energy	-4.280	eV/atom
data_CdCo2Au
_chemical_formula_sum 'Cd1 Co2 Au1'
_symmetry_space_group_name_H-M 'P 1 2/m 1'
_symmetry_Int_Tables_number 10
_symmetry_space_group_name_Hall '-P 2y'
_cell_length_a 2.822
_cell_length_b 3.808
_cell_length_c 5.648
_cell_angle_alpha 90.00
_cell_angle_beta 90.10
_cell_angle_gamma 90.00
loop_
_atom_site_label
_atom_site_type_symbol
_atom_site_fract_x
_atom_site_fract_y
_atom_site_fract_z
Cd1 Cd 0.000 0.000 0.000
Co1 Co 0.500 0.500 0.271
Au1 Au 0.000 0.000 0.500

=====

[6]
# CdCoAu3 | the Alexandria database | PBE | optimized geometry
# energy relative to the lowest polymorph listed for this composition	588	meV/atom
# electronic total energy	-2.382	eV/atom
data_CdCoAu3
_chemical_formula_sum 'Cd1 Co1 Au3'
_symmetry_space_group_name_H-M 'P m -3 m'
_symmetry_Int_Tables_number 221
_symmetry_space_group_name_Hall '-P 4 2 3'
_cell_length_a 5.105
_cell_length_b 5.105
_cell_length_c 5.105
_cell_angle_alpha 90.00
_cell_angle_beta 90.00
_cell_angle_gamma 90.00
loop_
_atom_site_label
_atom_site_type_symbol
_atom_site_fract_x
_atom_site_fract_y
_atom_site_fract_z
Cd1 Cd 0.000 0.000 0.000
Co1 Co 0.500 0.500 0.500
Au1 Au 0.000 0.000 0.500

=====

[7]
# Cd2CoAu | the Alexandria database | PBE | optimized geometry
# energy relative to the lowest polymorph listed for this composition	50	meV/atom
# electronic total energy	-2.876	eV/atom
data_Cd2CoAu
_chemical_formula_sum 'Cd4 Co2 Au2'
_symmetry_space_group_name_H-M 'I -4 m 2'
_symmetry_Int_Tables_number 119
_symmetry_space_group_name_Hall 'I -4 -2'
_cell_length_a 4.143
_cell_length_b 4.143
_cell_length_c 8.184
_cell_angle_alpha 90.00
_cell_angle_beta 90.00
_cell_angle_gamma 90.00
loop_
_atom_site_label
_atom_site_type_symbol
_atom_site_fract_x
_atom_site_fract_y
_atom_site_fract_z
Cd1 Cd 0.000 0.000 0.000
Cd2 Cd 0.000 0.500 0.250
Co1 Co 0.000 0.500 0.750
Au1 Au 0.000 0.000 0.500

=====

[8]
# CdCo2Au | the Alexandria database | PBE | optimized geometry
# electronic total energy	-4.269	eV/atom
data_CdCo2Au
_chemical_formula_sum 'Cd2 Co4 Au2'
_symmetry_space_group_name_H-M 'C 1 2/m 1'
_symmetry_Int_Tables_number 12
_symmetry_space_group_name_Hall '-C 2y'
_cell_length_a 9.117
_cell_length_b 2.868
_cell_length_c 4.803
_cell_angle_alpha 90.00
_cell_angle_beta 101.44
_cell_angle_gamma 90.00
loop_
_atom_site_label
_atom_site_type_symbol
_atom_site_fract_x
_atom_site_fract_y
_atom_site_fract_z
Cd1 Cd 0.000 0.000 0.000
Co1 Co 0.247 0.000 0.721
Au1 Au 0.000 0.500 0.500

=====

[9]
# Cd2CoAu | the Alexandria database | PBE | optimized geometry
# energy relative to the lowest polymorph listed for this composition	62	meV/atom
# electronic total energy	-2.864	eV/atom
data_Cd2CoAu
_chemical_formula_sum 'Cd4 Co2 Au2'
_symmetry_space_group_name_H-M 'C 1 2/m 1'
_symmetry_Int_Tables_number 12
_symmetry_space_group_name_Hall '-C 2y'
_cell_length_a 9.366
_cell_length_b 2.920
_cell_length_c 5.231
_cell_angle_alpha 90.00
_cell_angle_beta 99.88
_cell_angle_gamma 90.00
loop_
_atom_site_label
_atom_site_type_symbol
_atom_site_fract_x
_atom_site_fract_y
_atom_site_fract_z
Cd1 Cd 0.243 0.000 0.238
Co1 Co 0.000 0.500 0.000
Au1 Au 0.000 0.000 0.500

=====

[10]
# Cd2CoAu | the Alexandria database | PBE | optimized geometry
# energy relative to the lowest polymorph listed for this composition	24	meV/atom
# electronic total energy	-2.902	eV/atom
data_Cd2CoAu
_chemical_formula_sum 'Cd4 Co2 Au2'
_symmetry_space_group_name_H-M 'I m m 2'
_symmetry_Int_Tables_number 44
_symmetry_space_group_name_Hall 'I 2 -2'
_cell_length_a 3.013
_cell_length_b 4.731
_cell_length_c 10.072
_cell_angle_alpha 90.00
_cell_angle_beta 90.00
_cell_angle_gamma 90.00
loop_
_atom_site_label
_atom_site_type_symbol
_atom_site_fract_x
_atom_site_fract_y
_atom_site_fract_z
Cd1 Cd 0.000 0.000 0.000
Cd2 Cd 0.000 0.500 0.213
Co1 Co 0.000 0.500 0.725
Au1 Au 0.000 0.000 0.439

=====

[11]
# CdCo2Au | the Alexandria database | PBE | optimized geometry
# electronic total energy	-4.212	eV/atom
data_CdCo2Au
_chemical_formula_sum 'Cd3 Co6 Au3'
_symmetry_space_group_name_H-M 'R -3 m'
_symmetry_Int_Tables_number 166
_symmetry_space_group_name_Hall '-R 3 2"'
_cell_length_a 2.8067
_cell_length_b 2.8067
_cell_length_c 26.8631
_cell_angle_alpha 90.00
_cell_angle_beta 90.00
_cell_angle_gamma 120.00
loop_
_atom_site_label
_atom_site_type_symbol
_atom_site_fract_x
_atom_site_fract_y
_atom_site_fract_z
Cd1 Cd 0.0000 0.0000 0.0000
Co1 Co 0.0000 0.0000 0.2484
Au1 Au 0.0000 0.0000 0.5000

=====

[12]
# Cd2Co2Au | the Alexandria database | PBE | optimized geometry
# electronic total energy	-3.631	eV/atom
data_Cd2Co2Au
_chemical_formula_sum 'Cd4 Co4 Au2'
_symmetry_space_group_name_H-M 'P 4/m b m'
_symmetry_Int_Tables_number 127
_symmetry_space_group_name_Hall '-P 4 2ab'
_cell_length_a 6.478
_cell_length_b 6.478
_cell_length_c 4.012
_cell_angle_alpha 90.00
_cell_angle_beta 90.00
_cell_angle_gamma 90.00
loop_
_atom_site_label
_atom_site_type_symbol
_atom_site_fract_x
_atom_site_fract_y
_atom_site_fract_z
Cd1 Cd 0.175 0.325 0.000
Co1 Co 0.120 0.620 0.500
Au1 Au 0.000 0.000 0.500

=====

[13]
# HfCdCoAu | the Alexandria database | PBE | optimized geometry
# electronic total energy	-5.463	eV/atom
data_HfCdCoAu
_chemical_formula_sum 'Hf4 Cd4 Co4 Au4'
_symmetry_space_group_name_H-M 'F -4 3 m'
_symmetry_Int_Tables_number 216
_symmetry_space_group_name_Hall 'F -4 2 3'
_cell_length_a 6.530
_cell_length_b 6.530
_cell_length_c 6.530
_cell_angle_alpha 90.00
_cell_angle_beta 90.00
_cell_angle_gamma 90.00
loop_
_atom_site_label
_atom_site_type_symbol
_atom_site_fract_x
_atom_site_fract_y
_atom_site_fract_z
Hf1 Hf 0.000 0.000 0.000
Cd1 Cd 0.000 0.000 0.500
Co1 Co 0.250 0.250 0.250
Au1 Au 0.250 0.250 0.750

=====

[14]
# CdCoIr2Au | the Alexandria database | PBE | optimized geometry
# electronic total energy	-3.715	eV/atom
data_CdCoIr2Au
_chemical_formula_sum 'Cd1 Co1 Ir2 Au1'
_symmetry_space_group_name_H-M 'P 4/m m m'
_symmetry_Int_Tables_number 123
_symmetry_space_group_name_Hall '-P 4 2'
_cell_length_a 4.876
_cell_length_b 4.876
_cell_length_c 4.590
_cell_angle_alpha 90.00
_cell_angle_beta 90.00
_cell_angle_gamma 90.00
loop_
_atom_site_label
_atom_site_type_symbol
_atom_site_fract_x
_atom_site_fract_y
_atom_site_fract_z
Cd1 Cd 0.000 0.000 0.000
Co1 Co 0.000 0.000 0.500
Ir1 Ir 0.000 0.500 0.000
Au1 Au 0.500 0.500 0.500

=====

[15]
# La6Cd2CoAu | the Alexandria database | PBE | optimized geometry
# electronic total energy	-4.400	eV/atom
data_La6Cd2CoAu
_chemical_formula_sum 'La6 Cd2 Co1 Au1'
_symmetry_space_group_name_H-M 'P -1'
_symmetry_Int_Tables_number 2
_symmetry_space_group_name_Hall '-P 1'
_cell_length_a 7.308
_cell_length_b 7.349
_cell_length_c 7.389
_cell_angle_alpha 68.92
_cell_angle_beta 66.37
_cell_angle_gamma 68.85
loop_
_atom_site_label
_atom_site_type_symbol
_atom_site_fract_x
_atom_site_fract_y
_atom_site_fract_z
La1 La 0.141 0.272 0.342
La2 La 0.217 0.165 0.866
La3 La 0.338 0.634 0.774
Cd1 Cd 0.263 0.758 0.246
Co1 Co 0.000 0.500 0.000
Au1 Au 0.500 0.000 0.500

=====

[16]
# La4CdCoAu | the Alexandria database | PBE | optimized geometry
# electronic total energy	-4.703	eV/atom
data_La4CdCoAu
_chemical_formula_sum 'La16 Cd4 Co4 Au4'
_symmetry_space_group_name_H-M 'C m c m'
_symmetry_Int_Tables_number 63
_symmetry_space_group_name_Hall '-C 2c 2'
_cell_length_a 7.275
_cell_length_b 16.108
_cell_length_c 7.340
_cell_angle_alpha 90.00
_cell_angle_beta 90.00
_cell_angle_gamma 90.00
loop_
_atom_site_label
_atom_site_type_symbol
_atom_site_fract_x
_atom_site_fract_y
_atom_site_fract_z
La1 La 0.000 0.062 0.250
La2 La 0.000 0.424 0.250
La3 La 0.250 0.250 0.000
Cd1 Cd 0.000 0.385 0.750
Co1 Co 0.000 0.245 0.250
Au1 Au 0.000 0.123 0.750